Record 1
# PBE-GGA CaGa2H6, relaxed
# Calculated density   3.246 g/cm3
# DOS at the Fermi energy   0.37 states/eV/atom
# M_tot   0.00 μB/f.u.
# Space group   Fm-3m
# VASP energy   -2.4901 eV/atom
data_CaGa2H6
_chemical_formula_sum 'Ca1 Ga2 H6'
_cell_length_a 5.121
_cell_length_b 5.121
_cell_length_c 5.120
_cell_angle_alpha 60.00
_cell_angle_beta 60.00
_cell_angle_gamma 60.00
_symmetry_space_group_name_H-M 'P 1'
_symmetry_Int_Tables_number 1
_symmetry_space_group_name_Hall 'P 1'
loop_
_atom_site_label
_atom_site_type_symbol
_atom_site_fract_x
_atom_site_fract_y
_atom_site_fract_z
Ga1 Ga 0.750 0.750 0.750
Ga2 Ga 0.250 0.250 0.250
Ca1 Ca 0.000 0.000 0.000
H1 H 0.286 0.714 0.714
H2 H 0.714 0.714 0.286
H3 H 0.714 0.286 0.714
H4 H 0.714 0.286 0.286
H5 H 0.286 0.714 0.286
H6 H 0.286 0.286 0.714



Record 2
# PBE-GGA Zn2Ni2Hg, relaxed
# Calculated density   9.563 g/cm3
# DOS at the Fermi energy   0.62 states/eV/atom
# Excess energy over the best structure of this formula in the dataset   192 meV per atom
# M_tot   0.00 μB/f.u.
# Space group   I4/mmm
data_Zn2Ni2Hg
_chemical_formula_sum 'Zn2 Ni2 Hg1'
_cell_length_a 3.610
_cell_length_b 3.610
_cell_length_c 6.501
_cell_angle_alpha 73.88
_cell_angle_beta 73.88
_cell_angle_gamma 90.00
_symmetry_space_group_name_H-M 'P 1'
_symmetry_Int_Tables_number 1
_symmetry_space_group_name_Hall 'P 1'
loop_
_atom_site_label
_atom_site_type_symbol
_atom_site_fract_x
_atom_site_fract_y
_atom_site_fract_z
Ni1 Ni 0.250 0.750 0.500
Ni2 Ni 0.750 0.250 0.500
Zn1 Zn 0.388 0.388 0.223
Zn2 Zn 0.612 0.612 0.777
Hg1 Hg 0.000 0.000 0.000



Record 3
# PBE-GGA SmHo4In3, relaxed
# Calculated density   8.504 g/cm3
# DOS at the Fermi energy   1.28 states/eV/atom
# Excess energy over the best structure of this formula in the dataset   0 meV per atom
# M_tot   1.33 μB/f.u.
# Space group   R-3m
data_SmHo4In3
_chemical_formula_sum 'Sm1 Ho4 In3'
_cell_length_a 5.344
_cell_length_b 5.344
_cell_length_c 9.622
_cell_angle_alpha 73.88
_cell_angle_beta 73.88
_cell_angle_gamma 60.00
_symmetry_space_group_name_H-M 'P 1'
_symmetry_Int_Tables_number 1
_symmetry_space_group_name_Hall 'P 1'
loop_
_atom_site_label
_atom_site_type_symbol
_atom_site_fract_x
_atom_site_fract_y
_atom_site_fract_z
In1 In 0.263 0.263 0.211
In2 In 0.737 0.737 0.789
In3 In 0.500 0.500 0.500
Sm1 Sm 0.000 0.000 0.000
Ho1 Ho 0.387 0.387 0.838
Ho2 Ho 0.129 0.129 0.612
Ho3 Ho 0.871 0.871 0.388
Ho4 Ho 0.613 0.613 0.162



Record 4
# PBE-GGA CsSr3Li, relaxed
# Calculated density   2.168 g/cm3
# DOS at the Fermi energy   0.88 states/eV/atom
# Excess energy over the best structure of this formula in the dataset   712 meV per atom
# M_tot   3.73 μB/f.u.
# Space group   Pm-3m
data_CsSr3Li
_chemical_formula_sum 'Cs1 Sr3 Li1'
_cell_length_a 6.757
_cell_length_b 6.757
_cell_length_c 6.757
_cell_angle_alpha 90.00
_cell_angle_beta 90.00
_cell_angle_gamma 90.00
_symmetry_space_group_name_H-M 'P 1'
_symmetry_Int_Tables_number 1
_symmetry_space_group_name_Hall 'P 1'
loop_
_atom_site_label
_atom_site_type_symbol
_atom_site_fract_x
_atom_site_fract_y
_atom_site_fract_z
Sr1 Sr 0.500 0.000 0.000
Sr2 Sr 0.000 0.500 0.000
Sr3 Sr 0.000 0.000 0.500
Cs1 Cs 0.000 0.000 0.000
Li1 Li 0.500 0.500 0.500